1.
## HoPu2Co9 (PBE)

Data for a relaxed HoPu2Co9 crystal.

extended XYZ file:
```
12
Lattice="4.907 0.000 0.000 2.453 4.250 0.000 2.453 1.417 8.154" Properties=species:S:1:pos:R:3 pbc="T T T"
Ho 0.000 0.000 0.000
Pu 7.360 4.250 3.423
Pu 2.453 1.417 4.732
Co 7.360 4.250 8.152
Co 2.453 1.417 0.002
Co 4.907 2.833 4.077
Co 3.680 2.125 1.991
Co 6.134 2.125 1.991
Co 4.907 4.250 1.991
Co 6.134 3.542 6.164
Co 4.907 1.416 6.164
Co 3.680 3.542 6.164
```

Computed properties:
* formation enthalpy at 0 K: -1.93 eV per formula unit

2.
## PaSbRuO6 (PBE)

Data for a relaxed PaSbRuO6 crystal.

extended XYZ file:
```
18
Lattice="-1.494 0.616 5.304 1.068 -5.056 -2.010 8.338 0.867 2.247" Properties=species:S:1:pos:R:3 pbc="T T T"
Pa 2.298 -2.949 0.990
Pa 5.613 -0.624 4.552
Sb 1.444 -1.058 3.428
Sb 6.467 -2.515 2.114
Ru 0.000 0.000 0.000
Ru 4.169 0.434 1.124
O 0.744 -2.800 2.550
O -0.068 -0.921 4.839
O 5.786 -4.219 1.151
O 7.980 -2.652 0.703
O 2.950 -1.101 2.005
O 2.353 -2.397 4.723
O 7.350 -3.799 3.480
O 2.126 0.647 4.391
O 5.559 -1.176 0.819
O 0.561 0.226 2.061
O 4.961 -2.472 3.537
O 7.167 -0.773 2.992
```

Computed properties:
* E_form (uncorrected): -170.8 kJ per mole of atoms

3.
## Pt2Au (PBE)

Data for a relaxed Pt2Au crystal.

extended XYZ file:
```
6
Lattice="0.000 3.742 3.742 3.742 0.000 3.742 3.742 3.742 0.000" Properties=species:S:1:pos:R:3 pbc="T T T"
Pt 2.807 0.936 2.807
Pt 2.807 2.807 0.936
Pt 0.936 2.807 2.807
Pt 0.936 0.936 0.936
Au 5.614 5.614 5.614
Au 3.742 3.742 3.742
```

Computed properties:
* formation enthalpy at 0 K: 0.48 eV per formula unit

Per-record DFT total energy, eV per cell: -99.13 -137.14 -29.75